Computed, not measured: crystalline Tb2GdBi3 at its relaxed geometry at the PBE level of DFT.

Unit cell a=4.4773 b=4.4773 c=11.0202 alpha=90.00 beta=90.00 gamma=120.00
Sites, in units of the cell vectors:
Bi 0.0000 0.0000 0.0000
Bi 0.3333 0.6667 0.3329
Bi 0.6667 0.3333 0.6671
Gd 0.0000 0.0000 0.5000
Tb 0.6667 0.3333 0.1666
Tb 0.3333 0.6667 0.8334

Summary:
**Total DFT energy (no corrections)**: -31.5 eV per cell
**Total magnetization**: 0.003 μB/f.u.
**ρ**: 9.565 g/cm³